Be4AlPt | GGA-PBEsol | optimized geometry

Total moment ... 0.00 μB per formula unit
DFT formation energy ... -260 kJ/mol of formula units

```
data_Be4AlPt
_cell_length_a 6.169
_cell_length_b 6.169
_cell_length_c 6.169
_cell_angle_alpha 90.00
_cell_angle_beta 90.00
_cell_angle_gamma 90.00
_symmetry_space_group_name_H-M 'F -4 3 m'
_symmetry_Int_Tables_number 216
_symmetry_space_group_name_Hall 'F -4 2 3'
loop_
_atom_site_label
_atom_site_type_symbol
_atom_site_fract_x
_atom_site_fract_y
_atom_site_fract_z
Be1 Be 0.124 0.124 0.124
Al1 Al 0.000 0.000 0.500
Pt1 Pt 0.250 0.250 0.750
```